Record 1
Material: RbNa2LiCa
Method: DFT, GGA-PBE
State: optimized geometry

abc: 6.1068 6.1068 6.2490
angles: 90.00 90.00 90.00
Atoms (fractional coordinates):
1 Na 0.0000 0.5000 0.0000
2 Na 0.5000 0.0000 0.0000
3 Ca 0.0000 0.0000 0.5000
4 Rb 0.5000 0.5000 0.5000
5 Li 0.0000 0.0000 0.0000

## Properties
Formation energy from the elements, eV per atom: 0.1880
Magnetization, Bohr magnetons per cell: 0.0
V, Å³ per atom: 46.61
Total DFT energy (no corrections), eV for the cell shown: -6.58
DOS(E_F), states/eV per atom: 0.84

=====

Record 2
Material: NaLiCa2Re
Method: DFT, GGA-PBE
State: optimized geometry

abc: 5.5160 5.7192 5.5160
angles: 90.00 90.00 90.00
Atoms (fractional coordinates):
1 Re 0.0000 0.0000 0.0000
2 Ca 0.0000 0.0000 0.5000
3 Ca 0.5000 0.0000 0.0000
4 Li 0.5000 0.5000 0.5000
5 Na 0.0000 0.5000 0.0000

## Properties
Formation energy from the elements, eV per atom: 0.9346
Magnetization, Bohr magnetons per cell: 1.5
V, Å³ per atom: 34.80
Total DFT energy (no corrections), eV for the cell shown: -15.01
DOS(E_F), states/eV per atom: 0.85

=====

Record 3
Material: NaLiCaRh
Method: DFT, GGA-PBE
State: optimized geometry

abc: 4.8912 4.8912 4.8912
angles: 60.00 60.00 60.00
Atoms (fractional coordinates):
1 Na 0.2500 0.2500 0.2500
2 Ca 0.5000 0.5000 0.5000
3 Rh 0.7500 0.7500 0.7500
4 Li 0.0000 0.0000 0.0000

## Properties
Formation energy from the elements, eV per atom: 0.0045
Magnetization, Bohr magnetons per cell: 0.0
V, Å³ per atom: 20.69
Total DFT energy (no corrections), eV for the cell shown: -12.57
DOS(E_F), states/eV per atom: 0.69

=====

Record 4
Material: NaLiCaSi
Method: DFT, GGA-PBE
State: optimized geometry

abc: 4.9750 4.9750 4.9750
angles: 60.00 60.00 60.00
Atoms (fractional coordinates):
1 Na 0.0000 0.0000 0.0000
2 Ca 0.2500 0.2500 0.2500
3 Si 0.5000 0.5000 0.5000
4 Li 0.7500 0.7500 0.7500

## Properties
Magnetization, Bohr magnetons per cell: 0.0
Energy relative to the elements, uncorrected, meV/atom: -176
V, Å³ per atom: 21.77
Total DFT energy (no corrections), eV for the cell shown: -11.36
DOS(E_F), states/eV per atom: 0.18

=====

Record 5
Material: NaSr3Li2Ca3
Method: DFT, GGA-PBE
State: optimized geometry

abc: 4.0777 10.3347 10.3347
angles: 120.00 90.00 90.00
Atoms (fractional coordinates):
1 Na 0.0000 0.0000 0.0000
2 Sr 0.5000 0.7069 0.0000
3 Sr 0.5000 0.0000 0.7069
4 Sr 0.5000 0.2931 0.2931
5 Li 0.5000 0.6667 0.3333
6 Li 0.5000 0.3333 0.6667
7 Ca 0.0000 0.6217 0.6217
8 Ca 0.0000 0.0000 0.3783
9 Ca 0.0000 0.3783 0.0000

## Properties
Formation energy from the elements, eV per atom: 0.0796
Magnetization, Bohr magnetons per cell: 0.0
V, Å³ per atom: 41.91
Total DFT energy (no corrections), eV for the cell shown: -15.48
DOS(E_F), states/eV per atom: 0.83

=====

Record 6
Material: Na2SrLiCa
Method: DFT, GGA-PBE
State: optimized geometry

abc: 5.7925 5.7925 6.0747
angles: 90.00 90.00 90.00
Atoms (fractional coordinates):
1 Sr 0.5000 0.5000 0.5000
2 Ca 0.0000 0.0000 0.5000
3 Li 0.0000 0.0000 0.0000
4 Na 0.0000 0.5000 0.0000
5 Na 0.5000 0.0000 0.0000

## Properties
Formation energy from the elements, eV per atom: 0.1789
Magnetization, Bohr magnetons per cell: 0.0
V, Å³ per atom: 40.77
Total DFT energy (no corrections), eV for the cell shown: -7.34
DOS(E_F), states/eV per atom: 0.84

=====

Question: What is the formula in the sixth record?
Answer: Na2SrLiCa

=====

Question: What is the magnetization in the first record?
Answer: 0.0 Bohr magnetons per cell